# LaTm2ScSe6

A relaxed LaTm2ScSe6 crystal (PBE, the Alexandria database).

The total moment comes out at 0.00 μB/cell. The calculation puts the formation energy from raw total energies at -18.11 eV/f.u. For the volume, the calculation gives 284.6 Å³ per cell.

Structure (POSCAR):
```
LaTm2ScSe6
1.0
-1.534 6.980 -0.563
-4.895 2.224 -4.741
-6.719 2.419 2.651
La Tm Sc Se
1 2 1 6
direct
0.809 0.809 0.572
0.518 0.518 0.447
0.010 0.010 0.971
0.322 0.322 0.034
0.597 0.229 0.245
0.229 0.929 0.245
0.929 0.597 0.245
0.385 0.722 0.752
0.722 0.141 0.752
0.141 0.385 0.752
```



# Li2PmTmSi2

A relaxed Li2PmTmSi2 crystal (PBE, the Alexandria database).

The total moment comes out at 0.00 μB/cell. The calculation puts the formation energy from raw total energies at -3.35 eV/f.u. For the volume, the calculation gives 120.3 Å³ per cell.

Structure (POSCAR):
```
Li2PmTmSi2
1.0
-0.497 -1.468 -4.109
1.053 -2.796 3.219
-6.989 -1.175 1.264
Li Pm Tm Si
2 1 1 2
direct
0.333 0.667 0.716
0.667 0.333 0.284
0.000 0.000 0.000
0.000 0.000 0.500
0.333 0.667 0.264
0.667 0.333 0.736
```